Record 1
Material: RbOsRh
Method: DFT, PBE-GGA
State: optimized geometry

a b c (Å): 8.300 4.382 7.748
angles (deg): 90.00 90.00 90.00
Positions (direct):
Rh1 0.147 0.750 0.573
Rh2 0.647 0.750 0.927
Rb1 0.502 0.750 0.350
Rb2 0.998 0.250 0.850
Os1 0.356 0.750 0.927
Rh3 0.353 0.250 0.073
Os2 0.856 0.750 0.573
Rh4 0.853 0.250 0.427
Os3 0.144 0.250 0.427
Os4 0.644 0.250 0.073
Rb3 0.002 0.750 0.150
Rb4 0.498 0.250 0.650

Values from the calculation:
Offset from the most stable computed form: 0.5324 eV/atom
Formation energy from the elements: 1.0108 eV/atom
Space-group type: Pnma (62)

***

Record 2
Material: AlCrSiB2
Method: DFT, PBE-GGA
State: optimized geometry

a b c (Å): 3.924 4.966 3.924
angles (deg): 90.00 90.00 90.00
Each line ends with the local moment (μB).
Positions (direct):
Si1 0.000 0.500 0.000  -0.02
Cr1 0.500 0.500 0.500  0.34
B1 0.500 0.000 0.000  0.02
B2 0.000 0.000 0.500  0.01
Al1 0.000 0.000 0.000  -0.01

Values from the calculation:
E_form (uncorrected): 1.880 eV/atom
Space-group type: P4/mmm (123)

***

We obtain M_tot values of 0.0; 0.4 μB/f.u. for the records listed above, in that order.
We obtain D(E_F) values of 7.51; 5.20 states/eV/cell for the records listed above, in that order.